Record 1
# GGA-PBE CsBePO2, optimized geometry
data_CsBePO2
_chemical_formula_sum 'Cs1 Be1 P1 O2'
_cell_length_a 4.088
_cell_length_b 4.088
_cell_length_c 4.358
_cell_angle_alpha 90.00
_cell_angle_beta 90.00
_cell_angle_gamma 90.00
_space_group_name_H-M_alt 'P 1'
_space_group_IT_number 1
loop_
_space_group_symop_operation_xyz
'x,y,z'
loop_
_atom_site_label
_atom_site_type_symbol
_atom_site_fract_x
_atom_site_fract_y
_atom_site_fract_z
P1 P 0.000 0.000 0.500
O1 O 0.000 0.500 0.000
O2 O 0.500 0.000 0.000
Be1 Be 0.000 0.000 0.000
Cs1 Cs 0.500 0.500 0.500
# Theoretical density in g cm⁻³: 4.67
# Formation energy (no corrections) in meV/atom: 73
# VASP energy in eV per atom: -3.908

=====

Record 2
# GGA-PBE Y2AlAg, optimized geometry
data_Y2AlAg
_chemical_formula_sum 'Y2 Al1 Ag1'
_cell_length_a 3.686
_cell_length_b 6.176
_cell_length_c 6.260
_cell_angle_alpha 47.26
_cell_angle_beta 90.00
_cell_angle_gamma 90.00
_space_group_name_H-M_alt 'P 1'
_space_group_IT_number 1
loop_
_space_group_symop_operation_xyz
'x,y,z'
loop_
_atom_site_label
_atom_site_type_symbol
_atom_site_fract_x
_atom_site_fract_y
_atom_site_fract_z
Y1 Y 0.000 0.000 0.000
Y2 Y 0.500 0.500 0.000
Ag1 Ag 0.500 0.500 0.500
Al1 Al 0.000 0.000 0.500
# Theoretical density in g cm⁻³: 4.96
# VASP energy in eV per atom: -4.981

=====

Record 3
# GGA-PBE DyYCo3, optimized geometry
data_DyYCo3
_chemical_formula_sum 'Dy2 Y2 Co6'
_cell_length_a 3.875
_cell_length_b 4.083
_cell_length_c 11.814
_cell_angle_alpha 99.95
_cell_angle_beta 90.00
_cell_angle_gamma 90.00
_space_group_name_H-M_alt 'P 1'
_space_group_IT_number 1
loop_
_space_group_symop_operation_xyz
'x,y,z'
loop_
_atom_site_label
_atom_site_type_symbol
_atom_site_fract_x
_atom_site_fract_y
_atom_site_fract_z
Y1 Y 0.750 0.930 0.860
Co1 Co 0.750 0.332 0.665
Co2 Co 0.750 0.524 0.048
Co3 Co 0.750 0.620 0.240
Y2 Y 0.250 0.070 0.140
Co4 Co 0.250 0.668 0.335
Co5 Co 0.250 0.476 0.952
Dy1 Dy 0.750 0.204 0.409
Dy2 Dy 0.250 0.796 0.591
Co6 Co 0.250 0.380 0.760
# Theoretical density in g cm⁻³: 7.73
# VASP energy in eV per atom: -6.672

=====

Record 4
# GGA-PBE AlCo2Pb, optimized geometry
data_AlCo2Pb
_chemical_formula_sum 'Al4 Co8 Pb4'
_cell_length_a 3.138
_cell_length_b 3.992
_cell_length_c 20.008
_cell_angle_alpha 90.00
_cell_angle_beta 90.00
_cell_angle_gamma 90.00
_space_group_name_H-M_alt 'P 1'
_space_group_IT_number 1
loop_
_space_group_symop_operation_xyz
'x,y,z'
loop_
_atom_site_label
_atom_site_type_symbol
_atom_site_fract_x
_atom_site_fract_y
_atom_site_fract_z
Pb1 Pb 0.500 0.500 0.292
Pb2 Pb 0.000 0.000 0.420
Al1 Al 0.500 0.500 0.065
Co1 Co 0.500 0.000 0.980
Co2 Co 0.500 0.500 0.480
Al2 Al 0.500 0.000 0.565
Pb3 Pb 0.500 0.000 0.792
Pb4 Pb 0.000 0.500 0.920
Al3 Al 0.500 0.000 0.165
Al4 Al 0.500 0.500 0.665
Co3 Co 0.000 0.500 0.568
Co4 Co 0.000 0.000 0.068
Co5 Co 0.000 0.500 0.758
Co6 Co 0.000 0.000 0.258
Co7 Co 0.000 0.500 0.163
Co8 Co 0.000 0.000 0.663
# Theoretical density in g cm⁻³: 9.33
# VASP energy in eV per atom: -5.391

=====

Record 5
# GGA-PBE Si7Te, optimized geometry
data_Si7Te
_chemical_formula_sum 'Si7 Te1'
_cell_length_a 5.769
_cell_length_b 5.769
_cell_length_c 5.769
_cell_angle_alpha 60.00
_cell_angle_beta 60.00
_cell_angle_gamma 60.00
_space_group_name_H-M_alt 'P 1'
_space_group_IT_number 1
loop_
_space_group_symop_operation_xyz
'x,y,z'
loop_
_atom_site_label
_atom_site_type_symbol
_atom_site_fract_x
_atom_site_fract_y
_atom_site_fract_z
Si1 Si 0.500 0.000 0.500
Si2 Si 0.000 0.000 0.500
Si3 Si 0.500 0.000 0.000
Si4 Si 0.500 0.500 0.500
Si5 Si 0.000 0.500 0.000
Te1 Te 0.000 0.000 0.000
Si6 Si 0.000 0.500 0.500
Si7 Si 0.500 0.500 0.000
# Theoretical density in g cm⁻³: 3.97
# Formation energy (no corrections) in meV/atom: 722
# VASP energy in eV per atom: -4.416

=====

Record 6
# GGA-PBE Cu2SiNi, optimized geometry
data_Cu2SiNi
_chemical_formula_sum 'Cu2 Si1 Ni1'
_cell_length_a 4.378
_cell_length_b 4.378
_cell_length_c 2.667
_cell_angle_alpha 90.00
_cell_angle_beta 90.00
_cell_angle_gamma 112.71
_space_group_name_H-M_alt 'P 1'
_space_group_IT_number 1
loop_
_space_group_symop_operation_xyz
'x,y,z'
loop_
_atom_site_label
_atom_site_type_symbol
_atom_site_fract_x
_atom_site_fract_y
_atom_site_fract_z
Cu1 Cu 0.500 0.500 0.000
Cu2 Cu 0.000 0.000 0.000
Ni1 Ni 0.500 0.000 0.500
Si1 Si 0.000 0.500 0.500
# Theoretical density in g cm⁻³: 7.53
# Formation energy (no corrections) in meV/atom: -74
# VASP energy in eV per atom: -4.923

=====

Record 7
# GGA-PBE HfBRuS2, optimized geometry
data_HfBRuS2
_chemical_formula_sum 'Hf1 B1 Ru1 S2'
_cell_length_a 4.864
_cell_length_b 4.498
_cell_length_c 4.864
_cell_angle_alpha 90.00
_cell_angle_beta 90.00
_cell_angle_gamma 90.00
_space_group_name_H-M_alt 'P 1'
_space_group_IT_number 1
loop_
_space_group_symop_operation_xyz
'x,y,z'
loop_
_atom_site_label
_atom_site_type_symbol
_atom_site_fract_x
_atom_site_fract_y
_atom_site_fract_z
S1 S 0.500 0.000 0.000
Ru1 Ru 0.500 0.500 0.500
Hf1 Hf 0.000 0.000 0.000
B1 B 0.000 0.500 0.000
S2 S 0.000 0.000 0.500
# Theoretical density in g cm⁻³: 5.53
# Formation energy (no corrections) in meV/atom: 901
# VASP energy in eV per atom: -5.932

=====

Record 8
# GGA-PBE SrCe2GeO8, optimized geometry
data_SrCe2GeO8
_chemical_formula_sum 'Sr1 Ce2 Ge1 O8'
_cell_length_a 4.444
_cell_length_b 5.443
_cell_length_c 7.264
_cell_angle_alpha 83.62
_cell_angle_beta 85.80
_cell_angle_gamma 81.99
_space_group_name_H-M_alt 'P 1'
_space_group_IT_number 1
loop_
_space_group_symop_operation_xyz
'x,y,z'
loop_
_atom_site_label
_atom_site_type_symbol
_atom_site_fract_x
_atom_site_fract_y
_atom_site_fract_z
Ce1 Ce 0.578 0.550 0.256
Ge1 Ge 0.000 0.000 0.000
O1 O 0.133 0.769 0.822
O2 O 0.425 0.280 0.492
Sr1 Sr 0.000 0.000 0.500
O3 O 0.910 0.261 0.798
O4 O 0.389 0.111 0.003
O5 O 0.611 0.889 0.997
O6 O 0.090 0.739 0.202
O7 O 0.575 0.720 0.508
O8 O 0.867 0.231 0.178
Ce2 Ce 0.422 0.450 0.744
# Theoretical density in g cm⁻³: 5.47
# Formation energy (no corrections) in meV/atom: -2449
# VASP energy in eV per atom: -7.269

=====

Record 9
# GGA-PBE CsCa3Hf, optimized geometry
data_CsCa3Hf
_chemical_formula_sum 'Cs1 Ca3 Hf1'
_cell_length_a 5.731
_cell_length_b 5.731
_cell_length_c 5.731
_cell_angle_alpha 90.00
_cell_angle_beta 90.00
_cell_angle_gamma 90.00
_space_group_name_H-M_alt 'P 1'
_space_group_IT_number 1
loop_
_space_group_symop_operation_xyz
'x,y,z'
loop_
_atom_site_label
_atom_site_type_symbol
_atom_site_fract_x
_atom_site_fract_y
_atom_site_fract_z
Cs1 Cs 0.000 0.000 0.000
Hf1 Hf 0.500 0.500 0.500
Ca1 Ca 0.500 0.000 0.000
Ca2 Ca 0.000 0.500 0.000
Ca3 Ca 0.000 0.000 0.500
# Theoretical density in g cm⁻³: 3.81
# VASP energy in eV per atom: -1.879

=====

Record 10
# GGA-PBE Rb3Np5S12, optimized geometry
data_Rb3Np5S12
_chemical_formula_sum 'Rb12 Np20 S48'
_cell_length_a 14.847
_cell_length_b 14.847
_cell_length_c 14.847
_cell_angle_alpha 109.47
_cell_angle_beta 109.47
_cell_angle_gamma 109.47
_space_group_name_H-M_alt 'P 1'
_space_group_IT_number 1
loop_
_space_group_symop_operation_xyz
'x,y,z'
loop_
_atom_site_label
_atom_site_type_symbol
_atom_site_fract_x
_atom_site_fract_y
_atom_site_fract_z
Rb1 Rb 0.375 0.625 0.250
Np1 Np 0.500 0.500 0.000
Rb2 Rb 0.750 0.375 0.125
S1 S 0.109 0.418 0.093
S2 S 0.109 0.691 0.515
Rb3 Rb 0.625 0.375 0.750
S3 S 0.515 0.191 0.109
Np2 Np 0.125 0.750 0.375
S4 S 0.082 0.907 0.391
Np3 Np 0.250 0.375 0.625
S5 S 0.325 0.809 0.418
S6 S 0.418 0.109 0.593
S7 S 0.015 0.407 0.825
Rb4 Rb 0.250 0.625 0.875
Np4 Np 0.625 0.875 0.250
S8 S 0.015 0.609 0.691
S9 S 0.582 0.891 0.407
S10 S 0.675 0.485 0.593
Rb5 Rb 0.750 0.875 0.625
S11 S 0.093 0.918 0.109
S12 S 0.391 0.407 0.082
S13 S 0.609 0.015 0.191
S14 S 0.675 0.191 0.582
S15 S 0.985 0.391 0.309
S16 S 0.485 0.809 0.891
Rb6 Rb 0.625 0.250 0.375
S17 S 0.809 0.325 0.918
Np5 Np 0.125 0.375 0.250
S18 S 0.309 0.891 0.985
S19 S 0.093 0.175 0.485
S20 S 0.391 0.985 0.809
Rb7 Rb 0.250 0.125 0.375
S21 S 0.407 0.015 0.325
S22 S 0.907 0.082 0.891
S23 S 0.609 0.593 0.918
S24 S 0.593 0.609 0.418
Rb8 Rb 0.125 0.875 0.750
Np6 Np 0.250 0.875 0.125
S25 S 0.825 0.907 0.015
Np7 Np 0.625 0.750 0.875
Rb9 Rb 0.875 0.125 0.250
S26 S 0.515 0.325 0.907
S27 S 0.485 0.675 0.093
S28 S 0.891 0.309 0.485
Np8 Np 0.000 0.000 0.500
Np9 Np 0.375 0.250 0.125
S29 S 0.691 0.109 0.015
Np10 Np 0.000 0.500 0.000
Np11 Np 0.875 0.625 0.750
Rb10 Rb 0.125 0.250 0.875
S30 S 0.309 0.418 0.825
S31 S 0.582 0.691 0.675
S32 S 0.175 0.082 0.691
S33 S 0.985 0.593 0.175
Np12 Np 0.375 0.125 0.750
S34 S 0.191 0.515 0.609
S35 S 0.918 0.093 0.609
S36 S 0.191 0.675 0.082
Np13 Np 0.500 0.500 0.500
S37 S 0.918 0.825 0.809
S38 S 0.907 0.825 0.515
S39 S 0.325 0.515 0.407
S40 S 0.418 0.309 0.325
Rb11 Rb 0.875 0.750 0.125
S41 S 0.082 0.175 0.191
S42 S 0.825 0.918 0.309
Np14 Np 0.875 0.250 0.625
S43 S 0.175 0.093 0.985
S44 S 0.407 0.391 0.582
Np15 Np 0.000 0.000 0.000
S45 S 0.891 0.582 0.907
S46 S 0.691 0.582 0.175
Np16 Np 0.750 0.625 0.375
Np17 Np 0.750 0.125 0.875
S47 S 0.809 0.485 0.391
Rb12 Rb 0.375 0.750 0.625
S48 S 0.593 0.985 0.675
Np18 Np 0.500 0.000 0.500
Np19 Np 0.500 0.000 0.000
Np20 Np 0.000 0.500 0.500
# Theoretical density in g cm⁻³: 4.81
# Formation energy (no corrections) in meV/atom: -1061
# VASP energy in eV per atom: -6.918

=====

Question: Among the records above, which one has the highest VASP energy?
Answer: CsCa3Hf

=====

Question: The lowest VASP energy belongs to which entry?
Answer: SrCe2GeO8

=====

Question: What is the formula in the second record?
Answer: Y2AlAg